The following is a DFT calculation (PBE) of a relaxed structure of TaAsSe4.

```
6
Lattice="0.0000 3.9097 3.9097 3.9097 0.0000 3.9097 3.9097 3.9097 0.0000" Properties=species:S:1:pos:R:3 pbc="T T T"
Ta 0.0000 0.0000 0.0000
As 5.8645 5.8645 5.8645
Se 2.9218 2.9218 2.9218
Se 4.8975 4.8975 2.9218
Se 4.8975 2.9218 4.8975
Se 2.9218 4.8975 4.8975
```

Formation energy (no corrections)   0.97 eV/atom
V   19.9 A^3/atom
E   -4.0999 eV per atom